# GGA-PBE Ac2TbBi2O2, optimized geometry
# VASP energy in eV/atom: -6.27
# Size of the total moment in Bohr magnetons per cell: 0.00
data_Ac2TbBi2O2
_chemical_formula_sum 'Ac4 Tb2 Bi4 O4'
_symmetry_space_group_name_H-M 'I 4/m m m'
_symmetry_Int_Tables_number 139
_symmetry_space_group_name_Hall '-I 4 2'
_cell_length_a 4.5553
_cell_length_b 4.5553
_cell_length_c 17.4810
_cell_angle_alpha 90.00
_cell_angle_beta 90.00
_cell_angle_gamma 90.00
loop_
_atom_site_label
_atom_site_type_symbol
_atom_site_fract_x
_atom_site_fract_y
_atom_site_fract_z
Ac1 Ac 0.0000 0.0000 0.1116
Tb1 Tb 0.0000 0.0000 0.5000
Bi1 Bi 0.0000 0.0000 0.3123
O1 O 0.0000 0.5000 0.0000

***

# GGA-PBE AcTb2BiO8, optimized geometry
# VASP energy in eV/atom: -7.03
# Size of the total moment in Bohr magnetons per cell: 2.04
data_AcTb2BiO8
_chemical_formula_sum 'Ac1 Tb2 Bi1 O8'
_symmetry_space_group_name_H-M 'P 1 2/m 1'
_symmetry_Int_Tables_number 10
_cell_length_a 4.0444
_cell_length_b 7.9793
_cell_length_c 5.3541
_cell_angle_alpha 90.00
_cell_angle_beta 92.44
_cell_angle_gamma 90.00
loop_
_symmetry_equiv_pos_as_xyz
'x,y,z'
'-x,-y,-z'
'-x,y,-z'
'x,-y,z'
loop_
_atom_site_label
_atom_site_type_symbol
_atom_site_fract_x
_atom_site_fract_y
_atom_site_fract_z
Ac1 Ac 0.0000 0.0000 0.0000
Tb1 Tb 0.5000 0.2649 0.5000
Bi1 Bi 0.0000 0.5000 0.0000
O1 O 0.0210 0.2775 0.7488
O2 O 0.4670 0.5000 0.2344
O3 O 0.4984 0.0000 0.7157

***

# GGA-PBE AcTcBi2O8, optimized geometry
# VASP energy in eV/atom: -6.81
# Size of the total moment in Bohr magnetons per cell: 0.00
data_AcTcBi2O8
_chemical_formula_sum 'Ac1 Tc1 Bi2 O8'
_symmetry_space_group_name_H-M 'P -1'
_symmetry_Int_Tables_number 2
_cell_length_a 5.2995
_cell_length_b 5.2995
_cell_length_c 7.0041
_cell_angle_alpha 89.20
_cell_angle_beta 89.15
_cell_angle_gamma 87.30
loop_
_symmetry_equiv_pos_as_xyz
'x,y,z'
'-x,-y,-z'
loop_
_atom_site_label
_atom_site_type_symbol
_atom_site_fract_x
_atom_site_fract_y
_atom_site_fract_z
Ac1 Ac 0.0000 0.0000 0.0000
Tc1 Tc 0.0000 0.0000 0.5000
Bi1 Bi 0.4965 0.4968 0.2535
O1 O 0.1728 0.8073 0.2966
O2 O 0.1906 0.8252 0.7031
O3 O 0.2418 0.2392 0.4818
O4 O 0.3249 0.3226 0.0084

***

# GGA-PBE AcBi2TeO8, optimized geometry
# VASP energy in eV/atom: -6.08
# Size of the total moment in Bohr magnetons per cell: 0.00
data_AcBi2TeO8
_chemical_formula_sum 'Ac1 Bi2 Te1 O8'
_symmetry_space_group_name_H-M 'P 1 2/m 1'
_symmetry_Int_Tables_number 10
_cell_length_a 5.2037
_cell_length_b 7.1898
_cell_length_c 5.2062
_cell_angle_alpha 90.00
_cell_angle_beta 91.36
_cell_angle_gamma 90.00
loop_
_symmetry_equiv_pos_as_xyz
'x,y,z'
'-x,-y,-z'
'-x,y,-z'
'x,-y,z'
loop_
_atom_site_label
_atom_site_type_symbol
_atom_site_fract_x
_atom_site_fract_y
_atom_site_fract_z
Ac1 Ac 0.0000 0.0000 0.0000
Bi1 Bi 0.5000 0.2580 0.5000
Te1 Te 0.0000 0.5000 0.0000
O1 O 0.1822 0.2974 0.1828
O2 O 0.2662 0.5000 0.7345
O3 O 0.3267 0.0000 0.6752

***

# GGA-PBE AcBiTeO2, optimized geometry
# VASP energy in eV/atom: -6.15
# Size of the total moment in Bohr magnetons per cell: 0.00
data_AcBiTeO2
_chemical_formula_sum 'Ac4 Bi4 Te4 O8'
_symmetry_space_group_name_H-M 'C m c m'
_symmetry_Int_Tables_number 63
_symmetry_space_group_name_Hall '-C 2c 2'
_cell_length_a 5.8630
_cell_length_b 13.2896
_cell_length_c 5.8732
_cell_angle_alpha 90.00
_cell_angle_beta 90.00
_cell_angle_gamma 90.00
loop_
_atom_site_label
_atom_site_type_symbol
_atom_site_fract_x
_atom_site_fract_y
_atom_site_fract_z
Ac1 Ac 0.0000 0.1042 0.2500
Bi1 Bi 0.0000 0.4155 0.2500
Te1 Te 0.0000 0.2457 0.7500
O1 O 0.2400 0.5000 0.0000

***

# GGA-PBE AcThBi2O8, optimized geometry
# VASP energy in eV/atom: -7.04
# Size of the total moment in Bohr magnetons per cell: 1.77
data_AcThBi2O8
_chemical_formula_sum 'Ac2 Th2 Bi4 O16'
_symmetry_space_group_name_H-M 'I -4'
_symmetry_Int_Tables_number 82
_cell_length_a 5.6484
_cell_length_b 5.6484
_cell_length_c 11.8483
_cell_angle_alpha 90.00
_cell_angle_beta 90.00
_cell_angle_gamma 90.00
loop_
_symmetry_equiv_pos_as_xyz
'x,y,z'
'y,-x,-z'
'-x,-y,z'
'-y,x,-z'
'x+1/2,y+1/2,z+1/2'
'y+1/2,-x+1/2,-z+1/2'
'-x+1/2,-y+1/2,z+1/2'
'-y+1/2,x+1/2,-z+1/2'
loop_
_atom_site_label
_atom_site_type_symbol
_atom_site_fract_x
_atom_site_fract_y
_atom_site_fract_z
Ac1 Ac 0.0000 0.0000 0.0000
Th1 Th 0.0000 0.5000 0.7500
Bi1 Bi 0.0000 0.0000 0.5000
Bi2 Bi 0.0000 0.5000 0.2500
O1 O 0.1802 0.2700 0.6024
O2 O 0.1996 0.7409 0.1587

***

# GGA-PBE AcThBiO2, optimized geometry
# VASP energy in eV/atom: -7.74
# Size of the total moment in Bohr magnetons per cell: 0.00
data_AcThBiO2
_chemical_formula_sum 'Ac2 Th2 Bi2 O4'
_symmetry_space_group_name_H-M 'I 4 m m'
_symmetry_Int_Tables_number 107
_symmetry_space_group_name_Hall 'I 4 -2'
_cell_length_a 4.1626
_cell_length_b 4.1626
_cell_length_c 13.3850
_cell_angle_alpha 90.00
_cell_angle_beta 90.00
_cell_angle_gamma 90.00
loop_
_atom_site_label
_atom_site_type_symbol
_atom_site_fract_x
_atom_site_fract_y
_atom_site_fract_z
Ac1 Ac 0.0000 0.0000 0.0000
Th1 Th 0.0000 0.0000 0.3071
Bi1 Bi 0.0000 0.0000 0.6571
O1 O 0.0000 0.5000 0.3902

***

# GGA-PBE AcTiBiO6, optimized geometry
# VASP energy in eV/atom: -7.41
# Size of the total moment in Bohr magnetons per cell: 0.00
data_AcTiBiO6
_chemical_formula_sum 'Ac2 Ti2 Bi2 O12'
_symmetry_space_group_name_H-M 'P -3 1 c'
_symmetry_Int_Tables_number 163
_symmetry_space_group_name_Hall '-P 3 2c'
_cell_length_a 5.4522
_cell_length_b 5.4522
_cell_length_c 10.7580
_cell_angle_alpha 90.00
_cell_angle_beta 90.00
_cell_angle_gamma 120.00
loop_
_atom_site_label
_atom_site_type_symbol
_atom_site_fract_x
_atom_site_fract_y
_atom_site_fract_z
Ac1 Ac 0.0000 0.0000 0.0000
Ti1 Ti 0.3333 0.6667 0.2500
Bi1 Bi 0.3333 0.6667 0.7500
O1 O 0.0202 0.3847 0.1431

***

# GGA-PBE AcTiBi2O8, optimized geometry
# VASP energy in eV/atom: -6.84
# Size of the total moment in Bohr magnetons per cell: 0.00
data_AcTiBi2O8
_chemical_formula_sum 'Ac2 Ti2 Bi4 O16'
_symmetry_space_group_name_H-M 'C m m m'
_symmetry_Int_Tables_number 65
_symmetry_space_group_name_Hall '-C 2 2'
_cell_length_a 7.0016
_cell_length_b 7.3889
_cell_length_c 7.0187
_cell_angle_alpha 90.00
_cell_angle_beta 90.00
_cell_angle_gamma 90.00
loop_
_atom_site_label
_atom_site_type_symbol
_atom_site_fract_x
_atom_site_fract_y
_atom_site_fract_z
Ac1 Ac 0.0000 0.0000 0.0000
Ti1 Ti 0.0000 0.0000 0.5000
Bi1 Bi 0.0000 0.5000 0.2660
O1 O 0.0000 0.2926 0.5000
O2 O 0.0000 0.3287 0.0000
O3 O 0.1880 0.0000 0.2957

***

# GGA-PBE AcTl2BiO4, optimized geometry
# VASP energy in eV/atom: -5.60
# Size of the total moment in Bohr magnetons per cell: 0.00
data_AcTl2BiO4
_chemical_formula_sum 'Ac4 Tl8 Bi4 O16'
_symmetry_space_group_name_H-M 'I m m a'
_symmetry_Int_Tables_number 74
_symmetry_space_group_name_Hall '-I 2b 2'
_cell_length_a 7.4775
_cell_length_b 7.8070
_cell_length_c 10.7695
_cell_angle_alpha 90.00
_cell_angle_beta 90.00
_cell_angle_gamma 90.00
loop_
_atom_site_label
_atom_site_type_symbol
_atom_site_fract_x
_atom_site_fract_y
_atom_site_fract_z
Ac1 Ac 0.0000 0.0000 0.0000
Tl1 Tl 0.0000 0.0000 0.5000
Tl2 Tl 0.2500 0.2500 0.2500
Bi1 Bi 0.2500 0.2500 0.7500
O1 O 0.0000 0.0424 0.7664
O2 O 0.2130 0.2500 0.9764

***

# GGA-PBE Ac2TlBiO5, optimized geometry
# VASP energy in eV/atom: -6.42
# Size of the total moment in Bohr magnetons per cell: 0.00
data_Ac2TlBiO5
_chemical_formula_sum 'Ac4 Tl2 Bi2 O10'
_symmetry_space_group_name_H-M 'P 4/m b m'
_symmetry_Int_Tables_number 127
_symmetry_space_group_name_Hall '-P 4 2ab'
_cell_length_a 7.2733
_cell_length_b 7.2733
_cell_length_c 6.6467
_cell_angle_alpha 90.00
_cell_angle_beta 90.00
_cell_angle_gamma 90.00
loop_
_atom_site_label
_atom_site_type_symbol
_atom_site_fract_x
_atom_site_fract_y
_atom_site_fract_z
Ac1 Ac 0.1784 0.3216 0.0000
Tl1 Tl 0.0000 0.0000 0.5000
Bi1 Bi 0.0000 0.5000 0.5000
O1 O 0.0000 0.0000 0.0000
O2 O 0.1403 0.6403 0.2355

***

# GGA-PBE Ac2Tl3BiO6, optimized geometry
# VASP energy in eV/atom: -5.85
# Size of the total moment in Bohr magnetons per cell: 0.00
data_Ac2Tl3BiO6
_chemical_formula_sum 'Ac4 Tl6 Bi2 O12'
_symmetry_space_group_name_H-M 'C 1 2/m 1'
_symmetry_Int_Tables_number 12
_cell_length_a 6.5964
_cell_length_b 11.4012
_cell_length_c 6.8579
_cell_angle_alpha 90.00
_cell_angle_beta 108.62
_cell_angle_gamma 90.00
loop_
_symmetry_equiv_pos_as_xyz
'x,y,z'
'-x,-y,-z'
'-x,y,-z'
'x,-y,z'
'x+1/2,y+1/2,z'
'-x+1/2,-y+1/2,-z'
'-x+1/2,y+1/2,-z'
'x+1/2,-y+1/2,z'
loop_
_atom_site_label
_atom_site_type_symbol
_atom_site_fract_x
_atom_site_fract_y
_atom_site_fract_z
Ac1 Ac 0.0000 0.1674 0.0000
Tl1 Tl 0.0000 0.0000 0.5000
Tl2 Tl 0.0000 0.3399 0.5000
Bi1 Bi 0.0000 0.5000 0.0000
O1 O 0.2235 0.3383 0.1828
O2 O 0.2399 0.0000 0.1923

***

# GGA-PBE Ac2Tl2BiO6, optimized geometry
# VASP energy in eV/atom: -6.06
# Size of the total moment in Bohr magnetons per cell: 0.00
data_Ac2Tl2BiO6
_chemical_formula_sum 'Ac4 Tl4 Bi2 O12'
_symmetry_space_group_name_H-M 'C 1 2/m 1'
_symmetry_Int_Tables_number 12
_cell_length_a 6.5871
_cell_length_b 11.2402
_cell_length_c 6.7390
_cell_angle_alpha 90.00
_cell_angle_beta 107.61
_cell_angle_gamma 90.00
loop_
_symmetry_equiv_pos_as_xyz
'x,y,z'
'-x,-y,-z'
'-x,y,-z'
'x,-y,z'
'x+1/2,y+1/2,z'
'-x+1/2,-y+1/2,-z'
'-x+1/2,y+1/2,-z'
'x+1/2,-y+1/2,z'
loop_
_atom_site_label
_atom_site_type_symbol
_atom_site_fract_x
_atom_site_fract_y
_atom_site_fract_z
Ac1 Ac 0.0000 0.1647 0.0000
Tl1 Tl 0.0000 0.3410 0.5000
Bi1 Bi 0.0000 0.5000 0.0000
O1 O 0.2080 0.3421 0.1712
O2 O 0.2358 0.5000 0.8039

***

# GGA-PBE AcTlBi2O6, optimized geometry
# VASP energy in eV/atom: -5.98
# Size of the total moment in Bohr magnetons per cell: 0.00
data_AcTlBi2O6
_chemical_formula_sum 'Ac1 Tl1 Bi2 O6'
_symmetry_space_group_name_H-M 'P 1'
_symmetry_Int_Tables_number 1
_cell_length_a 6.2139
_cell_length_b 6.2181
_cell_length_c 6.2834
_cell_angle_alpha 90.05
_cell_angle_beta 119.61
_cell_angle_gamma 119.96
loop_
_symmetry_equiv_pos_as_xyz
'x,y,z'
loop_
_atom_site_label
_atom_site_type_symbol
_atom_site_fract_x
_atom_site_fract_y
_atom_site_fract_z
Ac1 Ac 0.0000 0.0000 0.0000
Tl1 Tl 0.0163 0.5081 0.5239
Bi1 Bi 0.4454 0.7226 0.1685
Bi2 Bi 0.4486 0.2244 0.6724
O1 O 0.2223 0.8279 0.3698
O2 O 0.2614 0.8993 0.8698
O3 O 0.5083 0.6082 0.8694
O4 O 0.5422 0.3937 0.3704
O5 O 0.9705 0.3618 0.8700
O6 O 0.9765 0.1482 0.3704

***

# GGA-PBE AcTlBiO, optimized geometry
# VASP energy in eV/atom: -5.14
# Size of the total moment in Bohr magnetons per cell: 0.00
data_AcTlBiO
_chemical_formula_sum 'Ac2 Tl2 Bi2 O2'
_symmetry_space_group_name_H-M 'I 4 m m'
_symmetry_Int_Tables_number 107
_symmetry_space_group_name_Hall 'I 4 -2'
_cell_length_a 3.5477
_cell_length_b 3.5477
_cell_length_c 18.9400
_cell_angle_alpha 90.00
_cell_angle_beta 90.00
_cell_angle_gamma 90.00
loop_
_atom_site_label
_atom_site_type_symbol
_atom_site_fract_x
_atom_site_fract_y
_atom_site_fract_z
Ac1 Ac 0.0000 0.0000 0.0000
Tl1 Tl 0.0000 0.0000 0.2802
Bi1 Bi 0.0000 0.0000 0.6543
O1 O 0.0000 0.0000 0.4720

***

# GGA-PBE Ac2TlBi2O2, optimized geometry
# VASP energy in eV/atom: -5.63
# Size of the total moment in Bohr magnetons per cell: 0.06
data_Ac2TlBi2O2
_chemical_formula_sum 'Ac2 Tl1 Bi2 O2'
_symmetry_space_group_name_H-M 'P -3 m 1'
_symmetry_Int_Tables_number 164
_symmetry_space_group_name_Hall '-P 3 2"'
_cell_length_a 4.0446
_cell_length_b 4.0446
_cell_length_c 16.0108
_cell_angle_alpha 90.00
_cell_angle_beta 90.00
_cell_angle_gamma 120.00
loop_
_atom_site_label
_atom_site_type_symbol
_atom_site_fract_x
_atom_site_fract_y
_atom_site_fract_z
Ac1 Ac 0.3333 0.6667 0.1038
Tl1 Tl 0.0000 0.0000 0.5000
Bi1 Bi 0.0000 0.0000 0.2840
O1 O 0.3333 0.6667 0.9410

***

# GGA-PBE AcTmBi2O8, optimized geometry
# VASP energy in eV/atom: -6.61
# Size of the total moment in Bohr magnetons per cell: 0.00
data_AcTmBi2O8
_chemical_formula_sum 'Ac2 Tm2 Bi4 O16'
_symmetry_space_group_name_H-M 'I -4'
_symmetry_Int_Tables_number 82
_cell_length_a 5.5271
_cell_length_b 5.5271
_cell_length_c 11.6044
_cell_angle_alpha 90.00
_cell_angle_beta 90.00
_cell_angle_gamma 90.00
loop_
_symmetry_equiv_pos_as_xyz
'x,y,z'
'y,-x,-z'
'-x,-y,z'
'-y,x,-z'
'x+1/2,y+1/2,z+1/2'
'y+1/2,-x+1/2,-z+1/2'
'-x+1/2,-y+1/2,z+1/2'
'-y+1/2,x+1/2,-z+1/2'
loop_
_atom_site_label
_atom_site_type_symbol
_atom_site_fract_x
_atom_site_fract_y
_atom_site_fract_z
Ac1 Ac 0.0000 0.0000 0.0000
Tm1 Tm 0.0000 0.5000 0.7500
Bi1 Bi 0.0000 0.0000 0.5000
Bi2 Bi 0.0000 0.5000 0.2500
O1 O 0.1776 0.2568 0.5993
O2 O 0.2102 0.7481 0.1612

***

# GGA-PBE AcTmBi2O6, optimized geometry
# VASP energy in eV/atom: -6.93
# Size of the total moment in Bohr magnetons per cell: 0.00
data_AcTmBi2O6
_chemical_formula_sum 'Ac1 Tm1 Bi2 O6'
_symmetry_space_group_name_H-M 'P 1'
_symmetry_Int_Tables_number 1
_cell_length_a 6.1714
_cell_length_b 6.1757
_cell_length_c 6.2439
_cell_angle_alpha 90.05
_cell_angle_beta 119.59
_cell_angle_gamma 119.95
loop_
_symmetry_equiv_pos_as_xyz
'x,y,z'
loop_
_atom_site_label
_atom_site_type_symbol
_atom_site_fract_x
_atom_site_fract_y
_atom_site_fract_z
Ac1 Ac 0.0000 0.0000 0.0000
Tm1 Tm 0.0266 0.5132 0.5393
Bi1 Bi 0.4443 0.2224 0.6660
Bi2 Bi 0.4501 0.7251 0.1757
O1 O 0.2133 0.8174 0.3686
O2 O 0.2499 0.8889 0.8597
O3 O 0.4994 0.6096 0.8590
O4 O 0.5513 0.3950 0.3693
O5 O 0.9710 0.3607 0.8598
O6 O 0.9741 0.1559 0.3691

***

# GGA-PBE AcUBiO6, optimized geometry
# VASP energy in eV/atom: -8.17
# Size of the total moment in Bohr magnetons per cell: 0.00
data_AcUBiO6
_chemical_formula_sum 'Ac2 U2 Bi2 O12'
_symmetry_space_group_name_H-M 'P -3 1 c'
_symmetry_Int_Tables_number 163
_symmetry_space_group_name_Hall '-P 3 2c'
_cell_length_a 5.9546
_cell_length_b 5.9546
_cell_length_c 10.3345
_cell_angle_alpha 90.00
_cell_angle_beta 90.00
_cell_angle_gamma 120.00
loop_
_atom_site_label
_atom_site_type_symbol
_atom_site_fract_x
_atom_site_fract_y
_atom_site_fract_z
Ac1 Ac 0.0000 0.0000 0.0000
U1 U 0.3333 0.6667 0.2500
Bi1 Bi 0.3333 0.6667 0.7500
O1 O 0.0343 0.3716 0.1396